First-principles (PBE-GGA) data for Dy5PuBi4 after structural relaxation, as listed in Alexandria.

Cell: 9.6593 9.6593 7.5763 Å, 109.29 109.29 29.45°
Fractional coordinates of all 10 atoms:
Dy: 0.0000 0.0000 0.0000
Dy: 0.2878 0.2878 0.1983
Dy: 0.3565 0.3565 0.7586
Dy: 0.6435 0.6435 0.2414
Dy: 0.7122 0.7122 0.8017
Pu: 0.0000 0.0000 0.5000
Bi: 0.1706 0.1706 0.5096
Bi: 0.4567 0.4567 0.2067
Bi: 0.5433 0.5433 0.7933
Bi: 0.8294 0.8294 0.4904

Symmetry   C2/m
Final energy   -56.85 eV per formula unit
Formation energy from the elements   -398 meV/atom